! Na3Pm3PbO8 | Alexandria | GGA-PBE | optimized geometry; values from VASP
! Energy: -6.399 eV per atom
! Uncorrected formation energy: -2.293 eV/atom
&SYSTEM
  ibrav = 0, nat = 15, ntyp = 4
/
ATOMIC_SPECIES
O 16.00 O.upf
Pb 207.20 Pb.upf
Pm 145.00 Pm.upf
Na 22.99 Na.upf
ATOMIC_POSITIONS angstrom
O -3.2014 3.2720 2.6944
O 0.3160 2.9196 2.6871
O -1.8828 0.9123 4.9723
Pb 0.4253 3.4038 0.4977
Pm -3.0780 3.8526 0.4222
Pm 1.8590 1.0657 2.7242
O 1.8392 0.4355 5.0526
O -5.1279 2.5935 0.2447
Na -2.0696 -1.8893 2.1509
Na 1.4337 -2.3381 2.2265
O -0.0873 -0.2431 2.6029
O -1.4059 2.1167 0.3250
Pm -1.6443 1.5145 2.6487
Na 0.0000 0.0000 0.0000
O -3.6047 0.1094 2.6103
CELL_PARAMETERS angstrom
-7.0066 0.8976 -0.1511
2.8674 -4.6762 4.4530
0.8505 6.8076 0.9955